i:
The following is a DFT calculation (PBEsol) of crystalline CrCoMo2 at its relaxed geometry.

a = 4.809 Å, b = 4.809 Å, c = 4.809 Å
α = 142.36°, β = 128.26°, γ = 65.73°
Element x y z (fractional)
1 Cr 0.000 0.000 0.000
2 Co 0.500 0.500 0.000
3 Mo 0.241 0.741 0.500
4 Mo 0.759 0.259 0.500

Computed properties:
DOS(E_F): 1.08 states/eV per atom
symmetry: Immm (71)

=====

ii:
The following is a DFT calculation (PBEsol) of crystalline CrCoMo2 at its relaxed geometry.

a = 4.199 Å, b = 4.199 Å, c = 4.199 Å
α = 60.00°, β = 60.00°, γ = 60.00°
Element x y z (fractional)
1 Cr 0.000 0.000 0.000
2 Co 0.500 0.500 0.500
3 Mo 0.250 0.250 0.250
4 Mo 0.750 0.750 0.750

Computed properties:
DOS(E_F): 1.18 states/eV per atom
symmetry: Fm-3m (225)

=====

Stability check: which of them is least stable? ii.

=====

i:
The following is a DFT calculation (PBEsol) of crystalline NaCrCo3 at its relaxed geometry.

a = 4.191 Å, b = 4.191 Å, c = 4.191 Å
α = 90.00°, β = 90.00°, γ = 90.00°
Element x y z (fractional)
1 Na 0.000 0.000 0.000
2 Cr 0.500 0.500 0.500
3 Co 0.000 0.500 0.500
4 Co 0.500 0.000 0.500
5 Co 0.500 0.500 0.000

Computed properties:
DOS(E_F): 1.26 states/eV per atom
symmetry: Pm-3m (221)

=====

ii:
The following is a DFT calculation (PBEsol) of crystalline NaCrCo3 at its relaxed geometry.

a = 4.246 Å, b = 4.246 Å, c = 4.246 Å
α = 90.00°, β = 90.00°, γ = 90.00°
Element x y z (fractional)
1 Na 0.000 0.000 0.000
2 Cr 0.500 0.500 0.500
3 Co 0.000 0.000 0.500
4 Co 0.000 0.500 0.000
5 Co 0.500 0.000 0.000

Computed properties:
DOS(E_F): 2.88 states/eV per atom
symmetry: Pm-3m (221)

=====

Stability check: which of them is least stable? ii.

=====

i:
The following is a DFT calculation (PBEsol) of crystalline CrCoNi at its relaxed geometry.

a = 4.240 Å, b = 4.240 Å, c = 4.240 Å
α = 146.62°, β = 131.75°, γ = 59.94°
Element x y z (fractional)
1 Cr 0.000 0.000 0.000
2 Co 0.662 0.662 0.000
3 Ni 0.330 0.330 0.000

Computed properties:
DOS(E_F): 1.15 states/eV per atom
symmetry: Imm2 (44)

=====

ii:
The following is a DFT calculation (PBEsol) of crystalline CrCoNi at its relaxed geometry.

a = 5.536 Å, b = 5.536 Å, c = 5.536 Å
α = 154.61°, β = 154.61°, γ = 36.21°
Element x y z (fractional)
1 Cr 0.000 0.000 0.000
2 Co 0.661 0.661 0.000
3 Ni 0.330 0.330 0.000

Computed properties:
DOS(E_F): 1.33 states/eV per atom
symmetry: I4mm (107)

=====

Stability check: which of them is least stable? ii.

=====

i:
The following is a DFT calculation (PBEsol) of crystalline CrCoPb2 at its relaxed geometry.

a = 8.349 Å, b = 8.349 Å, c = 8.349 Å
α = 23.15°, β = 23.15°, γ = 23.15°
Element x y z (fractional)
1 Cr 0.000 0.000 0.000
2 Co 0.500 0.500 0.500
3 Pb 0.242 0.242 0.242
4 Pb 0.758 0.758 0.758

Computed properties:
DOS(E_F): 1.13 states/eV per atom
symmetry: R-3m (166)

=====

ii:
The following is a DFT calculation (PBEsol) of crystalline CrCoPb2 at its relaxed geometry.

a = 3.112 Å, b = 3.112 Å, c = 8.108 Å
α = 90.00°, β = 90.00°, γ = 90.00°
Element x y z (fractional)
1 Cr 0.000 0.000 0.000
2 Co 0.500 0.500 0.872
3 Pb 0.000 0.000 0.638
4 Pb 0.500 0.500 0.243

Computed properties:
DOS(E_F): 0.59 states/eV per atom
symmetry: P4mm (99)

=====

Stability check: which of them is least stable? i.

=====

i:
The following is a DFT calculation (PBEsol) of crystalline CrCo2Re at its relaxed geometry.

a = 4.400 Å, b = 4.400 Å, c = 4.400 Å
α = 132.60°, β = 132.60°, γ = 69.29°
Element x y z (fractional)
1 Cr 0.000 0.000 0.000
2 Co 0.250 0.750 0.500
3 Co 0.750 0.250 0.500
4 Re 0.500 0.500 0.000

Computed properties:
DOS(E_F): 0.86 states/eV per atom
symmetry: I4/mmm (139)

=====

ii:
The following is a DFT calculation (PBEsol) of crystalline CrCo2Re at its relaxed geometry.

a = 2.527 Å, b = 3.617 Å, c = 4.985 Å
α = 90.00°, β = 90.00°, γ = 90.00°
Element x y z (fractional)
1 Cr 0.000 0.000 0.000
2 Co 0.500 0.500 0.243
3 Co 0.500 0.500 0.757
4 Re 0.000 0.000 0.500

Computed properties:
DOS(E_F): 0.85 states/eV per atom
symmetry: Pmmm (47)

=====

iii:
The following is a DFT calculation (PBEsol) of crystalline CrCo2Re at its relaxed geometry.

a = 8.318 Å, b = 8.318 Å, c = 8.318 Å
α = 17.75°, β = 17.75°, γ = 17.75°
Element x y z (fractional)
1 Cr 0.000 0.000 0.000
2 Co 0.254 0.254 0.254
3 Co 0.746 0.746 0.746
4 Re 0.500 0.500 0.500

Computed properties:
DOS(E_F): 1.35 states/eV per atom
symmetry: R-3m (166)

=====

Stability check: which of them is least stable? iii.

=====

i:
The following is a DFT calculation (PBEsol) of crystalline CrCo2Re at its relaxed geometry.

a = 2.540 Å, b = 4.052 Å, c = 4.416 Å
α = 90.00°, β = 90.00°, γ = 90.00°
Element x y z (fractional)
1 Cr 0.000 0.000 0.000
2 Co 0.500 0.000 0.481
3 Co 0.500 0.500 0.152
4 Re 0.000 0.500 0.651

Computed properties:
DOS(E_F): 0.67 states/eV per atom
symmetry: Pmm2 (25)

=====

ii:
The following is a DFT calculation (PBEsol) of crystalline CrCo2Re at its relaxed geometry.

a = 3.534 Å, b = 3.534 Å, c = 3.628 Å
α = 90.00°, β = 90.00°, γ = 90.00°
Element x y z (fractional)
1 Cr 0.000 0.000 0.000
2 Co 0.000 0.500 0.500
3 Co 0.500 0.000 0.500
4 Re 0.500 0.500 0.000

Computed properties:
DOS(E_F): 0.84 states/eV per atom
symmetry: P4/mmm (123)

=====

Stability check: which of them is least stable? ii.

=====

i:
The following is a DFT calculation (PBEsol) of crystalline Cr2CoRh at its relaxed geometry.

a = 4.381 Å, b = 4.381 Å, c = 2.543 Å
α = 90.00°, β = 90.00°, γ = 109.87°
Element x y z (fractional)
1 Cr 0.000 0.500 0.000
2 Cr 0.500 0.000 0.000
3 Co 0.000 0.000 0.500
4 Rh 0.500 0.500 0.500

Computed properties:
DOS(E_F): 0.82 states/eV per atom
symmetry: Cmmm (65)

=====

ii:
The following is a DFT calculation (PBEsol) of crystalline Cr2CoRh at its relaxed geometry.

a = 2.551 Å, b = 3.539 Å, c = 5.070 Å
α = 90.00°, β = 90.00°, γ = 90.00°
Element x y z (fractional)
1 Cr 0.000 0.000 0.230
2 Cr 0.000 0.000 0.770
3 Co 0.500 0.500 0.000
4 Rh 0.500 0.500 0.500

Computed properties:
DOS(E_F): 0.74 states/eV per atom
symmetry: Pmmm (47)

=====

iii:
The following is a DFT calculation (PBEsol) of crystalline Cr2CoRh at its relaxed geometry.

a = 2.536 Å, b = 2.536 Å, c = 7.104 Å
α = 90.00°, β = 90.00°, γ = 90.00°
Element x y z (fractional)
1 Cr 0.000 0.000 0.237
2 Cr 0.000 0.000 0.763
3 Co 0.500 0.500 0.000
4 Rh 0.500 0.500 0.500

Computed properties:
DOS(E_F): 0.83 states/eV per atom
symmetry: P4/mmm (123)

=====

iv:
The following is a DFT calculation (PBEsol) of crystalline Cr2CoRh at its relaxed geometry.

a = 2.878 Å, b = 2.878 Å, c = 5.586 Å
α = 90.00°, β = 90.00°, γ = 90.00°
Element x y z (fractional)
1 Cr 0.000 0.000 0.000
2 Cr 0.500 0.500 0.255
3 Co 0.500 0.500 0.817
4 Rh 0.000 0.000 0.521

Computed properties:
DOS(E_F): 1.10 states/eV per atom
symmetry: P4mm (99)

=====

Stability check: which of them is least stable? iv.

=====

i:
The following is a DFT calculation (PBEsol) of crystalline Cr2CoRh at its relaxed geometry.

a = 4.396 Å, b = 4.396 Å, c = 4.396 Å
α = 132.24°, β = 132.24°, γ = 69.86°
Element x y z (fractional)
1 Cr 0.250 0.750 0.500
2 Cr 0.750 0.250 0.500
3 Co 0.000 0.000 0.000
4 Rh 0.500 0.500 0.000

Computed properties:
DOS(E_F): 0.83 states/eV per atom
symmetry: I4/mmm (139)

=====

ii:
The following is a DFT calculation (PBEsol) of crystalline Cr2CoRh at its relaxed geometry.

a = 4.396 Å, b = 4.396 Å, c = 4.336 Å
α = 99.77°, β = 99.77°, γ = 33.82°
Element x y z (fractional)
1 Cr 0.246 0.246 0.235
2 Cr 0.754 0.754 0.765
3 Co 0.500 0.500 0.000
4 Rh 0.000 0.000 0.500

Computed properties:
DOS(E_F): 1.14 states/eV per atom
symmetry: C2/m (12)

=====

Stability check: which of them is least stable? ii.

=====

i:
The following is a DFT calculation (PBEsol) of crystalline CrCoRu at its relaxed geometry.

a = 4.736 Å, b = 4.736 Å, c = 4.736 Å
α = 144.59°, β = 144.59°, γ = 50.94°
Element x y z (fractional)
1 Cr 0.000 0.000 0.000
2 Co 0.352 0.352 0.000
3 Ru 0.666 0.666 0.000

Computed properties:
DOS(E_F): 1.10 states/eV per atom
symmetry: I4mm (107)

=====

ii:
The following is a DFT calculation (PBEsol) of crystalline CrCoRu at its relaxed geometry.

a = 3.858 Å, b = 3.858 Å, c = 3.858 Å
α = 60.00°, β = 60.00°, γ = 60.00°
Element x y z (fractional)
1 Cr 0.000 0.000 0.000
2 Co 0.250 0.250 0.250
3 Ru 0.500 0.500 0.500

Computed properties:
DOS(E_F): 1.88 states/eV per atom
symmetry: F-43m (216)

=====

Stability check: which of them is least stable? ii.

=====

i:
The following is a DFT calculation (PBEsol) of crystalline ScCrCo at its relaxed geometry.

a = 4.159 Å, b = 4.159 Å, c = 4.159 Å
α = 60.00°, β = 60.00°, γ = 60.00°
Element x y z (fractional)
1 Sc 0.000 0.000 0.000
2 Cr 0.250 0.250 0.250
3 Co 0.750 0.750 0.750

Computed properties:
DOS(E_F): 0.83 states/eV per atom
symmetry: F-43m (216)

=====

ii:
The following is a DFT calculation (PBEsol) of crystalline ScCrCo at its relaxed geometry.

a = 3.990 Å, b = 3.990 Å, c = 3.990 Å
α = 60.00°, β = 60.00°, γ = 60.00°
Element x y z (fractional)
1 Sc 0.000 0.000 0.000
2 Cr 0.250 0.250 0.250
3 Co 0.500 0.500 0.500

Computed properties:
DOS(E_F): 1.29 states/eV per atom
symmetry: F-43m (216)

=====

Stability check: which of them is least stable? i.

=====

i:
The following is a DFT calculation (PBEsol) of crystalline ScCrCo at its relaxed geometry.

a = 2.815 Å, b = 2.815 Å, c = 6.050 Å
α = 90.00°, β = 90.00°, γ = 120.00°
Element x y z (fractional)
1 Sc 0.000 0.000 0.000
2 Cr 0.667 0.333 0.367
3 Co 0.333 0.667 0.640

Computed properties:
DOS(E_F): 1.31 states/eV per atom
symmetry: P3m1 (156)

=====

ii:
The following is a DFT calculation (PBEsol) of crystalline ScCrCo at its relaxed geometry.

a = 4.038 Å, b = 4.038 Å, c = 3.109 Å
α = 90.00°, β = 90.00°, γ = 120.00°
Element x y z (fractional)
1 Sc 0.000 0.000 0.000
2 Cr 0.667 0.333 0.500
3 Co 0.333 0.667 0.500

Computed properties:
DOS(E_F): 1.24 states/eV per atom
symmetry: P-6m2 (187)

=====

Stability check: which of them is least stable? i.

=====

i:
The following is a DFT calculation (PBEsol) of crystalline CrCo2Tc at its relaxed geometry.

a = 4.379 Å, b = 4.379 Å, c = 2.502 Å
α = 90.00°, β = 90.00°, γ = 110.94°
Element x y z (fractional)
1 Cr 0.000 0.000 0.000
2 Co 0.000 0.500 0.500
3 Co 0.500 0.000 0.500
4 Tc 0.500 0.500 0.000

Computed properties:
DOS(E_F): 0.91 states/eV per atom
symmetry: Cmmm (65)

=====

ii:
The following is a DFT calculation (PBEsol) of crystalline CrCo2Tc at its relaxed geometry.

a = 8.360 Å, b = 8.360 Å, c = 8.360 Å
α = 17.51°, β = 17.51°, γ = 17.51°
Element x y z (fractional)
1 Cr 0.000 0.000 0.000
2 Co 0.256 0.256 0.256
3 Co 0.509 0.509 0.509
4 Tc 0.758 0.758 0.758

Computed properties:
DOS(E_F): 1.34 states/eV per atom
symmetry: R3m (160)

=====

Stability check: which of them is least stable? ii.

=====

i:
The following is a DFT calculation (PBEsol) of crystalline CrCo2Tc at its relaxed geometry.

a = 3.512 Å, b = 3.512 Å, c = 3.616 Å
α = 90.00°, β = 90.00°, γ = 90.00°
Element x y z (fractional)
1 Cr 0.000 0.000 0.000
2 Co 0.000 0.500 0.500
3 Co 0.500 0.000 0.500
4 Tc 0.500 0.500 0.000

Computed properties:
DOS(E_F): 0.95 states/eV per atom
symmetry: P4/mmm (123)

=====

ii:
The following is a DFT calculation (PBEsol) of crystalline CrCo2Tc at its relaxed geometry.

a = 4.001 Å, b = 4.001 Å, c = 4.001 Å
α = 60.00°, β = 60.00°, γ = 60.00°
Element x y z (fractional)
1 Cr 0.000 0.000 0.000
2 Co 0.500 0.500 0.500
3 Co 0.750 0.750 0.750
4 Tc 0.250 0.250 0.250

Computed properties:
DOS(E_F): 1.49 states/eV per atom
symmetry: F-43m (216)

=====

Stability check: which of them is least stable? ii.

=====

i:
The following is a DFT calculation (PBEsol) of crystalline CrCo2Tc at its relaxed geometry.

a = 2.503 Å, b = 3.601 Å, c = 4.963 Å
α = 90.00°, β = 90.00°, γ = 90.00°
Element x y z (fractional)
1 Cr 0.000 0.000 0.000
2 Co 0.500 0.500 0.244
3 Co 0.500 0.500 0.756
4 Tc 0.000 0.000 0.500

Computed properties:
DOS(E_F): 1.01 states/eV per atom
symmetry: Pmmm (47)

=====

ii:
The following is a DFT calculation (PBEsol) of crystalline CrCo2Tc at its relaxed geometry.

a = 4.387 Å, b = 4.387 Å, c = 4.387 Å
α = 132.80°, β = 132.80°, γ = 68.97°
Element x y z (fractional)
1 Cr 0.000 0.000 0.000
2 Co 0.250 0.750 0.500
3 Co 0.750 0.250 0.500
4 Tc 0.500 0.500 0.000

Computed properties:
DOS(E_F): 0.94 states/eV per atom
symmetry: I4/mmm (139)

=====

Stability check: which of them is least stable? i.